Compound: ReAg4O5
Source: the Alexandria database
Functional: PBE
Structure: optimized geometry

Summary:
crystal system = tetragonal
SG = No. 79
mass density = 8.10 Mg/m³
uncorrected energy = -5.55 eV per atom

Lattice parameters (Å, degrees): 6.4140 6.4140 6.4140 95.08 95.08 145.38
Fractional coordinates of all 10 atoms:
Re 0.0000 0.0000 0.0000
Ag 0.1027 0.5581 0.7454
Ag 0.3573 0.1027 0.5446
Ag 0.5581 0.8127 0.4554
Ag 0.8127 0.3573 0.2546
O 0.0634 0.1290 0.3007
O 0.1290 0.8283 0.0655
O 0.4661 0.4661 0.0000
O 0.7627 0.0634 0.9345
O 0.8283 0.7627 0.6993